Entry from Alexandria via LeMat-Bulk: a PBEsol-optimized structure of LaCuRh (meta-GGA SCAN).

abc: 6.4426 6.4426 6.4426
angles: 90.00 90.00 90.00
Closest atoms and distances in Å follow each position.
Space group F-43m (No. 216)
Inequivalent atoms, fractional coordinates:
La 0.0000 0.0000 0.0000  4 Cu 2.79, 4 Rh 2.79
Cu 0.2500 0.2500 0.7500  4 La 2.79
Rh 0.2500 0.2500 0.2500  4 La 2.79

Computed properties:
- Uncorrected energy: -30.3502 eV per atom
- D(E_F): 10.82 states/eV/cell
- Total magnetization: 0.000 μB per atom
- Energy above the most stable polymorph in this dataset: 18.82 kcal/mol of atoms
- Crystal system: cubic